[1]
Below is Re2RuPt after structural relaxation, with properties calculated at the PBE-GGA level.

Lattice parameters (Å, degrees): 2.724 2.724 7.958 90.00 90.00 90.00
Atoms (fractional coordinates):
Re 0.000 0.000 0.009
Pt 0.500 0.500 0.750
Ru 0.500 0.500 0.250
Re 0.000 0.000 0.491

Calculated values
Space group: P4/mmm
Total energy (eV per atom): -10.070
Calculated formation energy (kJ per mole of atoms): -2
Total magnetic moment (μB per formula unit): 0.000
Density of states at the Fermi level (states/eV per cell): 3.35

---

[2]
Below is Pu2SbAs after structural relaxation, with properties calculated at the PBE-GGA level.

Lattice parameters (Å, degrees): 3.160 5.545 5.545 90.00 90.00 90.00
Last column: magnetic moment on the atom in μB.
Atoms (fractional coordinates):
Pu 0.000 0.500 0.000  5.49
Sb 0.500 0.000 0.000  -0.12
Pu 0.000 0.000 0.500  5.49
As 0.500 0.500 0.500  -0.12

Calculated values
Space group: P4/mmm
Total energy (eV per atom): -10.049
Total magnetic moment (μB per formula unit): 11.303
Density of states at the Fermi level (states/eV per cell): 14.87

---

[3]
Below is Na2Pm3PrSe6 after structural relaxation, with properties calculated at the PBE-GGA level.

Lattice parameters (Å, degrees): 7.298 7.298 7.368 99.50 99.50 119.96
Atoms (fractional coordinates):
Na 0.334 0.666 0.000
Pm 0.168 0.832 0.500
Se 0.248 0.248 0.744
Se 0.916 0.582 0.747
Se 0.752 0.752 0.256
Pr 0.000 0.000 0.000
Na 0.666 0.334 0.000
Pm 0.832 0.168 0.500
Pm 0.500 0.500 0.500
Se 0.084 0.418 0.253
Se 0.582 0.916 0.747
Se 0.418 0.084 0.253

Calculated values
Space group: C2/m
Total energy (eV per atom): -5.289
Total magnetic moment (μB per formula unit): 0.000
Density of states at the Fermi level (states/eV per cell): 3.26

---

[4]
Below is CuWSe2N after structural relaxation, with properties calculated at the PBE-GGA level.

Lattice parameters (Å, degrees): 5.046 5.046 3.795 90.00 90.00 90.00
Atoms (fractional coordinates):
Se 0.500 0.000 0.000
Se 0.000 0.500 0.000
Cu 0.500 0.500 0.500
W 0.000 0.000 0.000
N 0.000 0.000 0.500

Calculated values
Space group: P4/mmm
Total energy (eV per atom): -6.041
Total magnetic moment (μB per formula unit): 0.000
Density of states at the Fermi level (states/eV per cell): 3.67

---

[5]
Below is NaAlMo2 after structural relaxation, with properties calculated at the PBE-GGA level.

Lattice parameters (Å, degrees): 3.839 3.839 10.295 79.25 79.25 90.00
Atoms (fractional coordinates):
Mo 0.664 0.125 0.250
Mo 0.875 0.914 0.750
Al 0.750 0.250 0.500
Na 0.250 0.750 0.500
Al 0.000 0.000 0.000
Mo 0.086 0.625 0.250
Na 0.500 0.500 0.000
Mo 0.375 0.336 0.750

Calculated values
Space group: I-42d
Total energy (eV per atom): -5.781
Calculated formation energy (kJ per mole of atoms): 87
Total magnetic moment (μB per formula unit): 0.000
Density of states at the Fermi level (states/eV per cell): 6.36

---

Please write out number 4 again, unchanged.
Below is CuWSe2N after structural relaxation, with properties calculated at the PBE-GGA level.

Lattice parameters (Å, degrees): 5.046 5.046 3.795 90.00 90.00 90.00
Atoms (fractional coordinates):
Se 0.500 0.000 0.000
Se 0.000 0.500 0.000
Cu 0.500 0.500 0.500
W 0.000 0.000 0.000
N 0.000 0.000 0.500

Calculated values
Space group: P4/mmm
Total energy (eV per atom): -6.041
Total magnetic moment (μB per formula unit): 0.000
Density of states at the Fermi level (states/eV per cell): 3.67

---

- What is the total magnetic moment in the second record?
  11.303 μB per formula unit

---

- Which formula does entry 4 have?
  CuWSe2N

---

- Number 2 is which compound?
  Pu2SbAs